--- a ---
The following is a PBE calculation of a relaxed structure of Sc2SiW, from the Alexandria database.

Cell and atoms, written as POSCAR:
```
Sc2SiW
1.0
6.5858 0.0060 0.0192
-2.6584 4.3622 -0.0164
1.2691 0.7815 2.4856
Sc W Si
2 1 1
Cartesian
0.0000 0.0000 0.0000
3.9274 0.3938 1.2524
1.9637 2.1841 0.0014
-0.6946 2.5718 1.2346
```

V = 71 Å³ per cell

***

--- b ---
The following is a PBE calculation of a relaxed structure of Sc2SiW, from the Alexandria database.

Cell and atoms, written as POSCAR:
```
Sc2SiW
1.0
3.3502 0.0000 0.0000
0.0000 3.3502 0.0000
0.0000 0.0000 6.6352
W Sc Si
1 2 1
Cartesian
1.6751 1.6751 4.6536
1.6751 1.6751 1.9524
0.0000 0.0000 6.4076
0.0000 0.0000 3.5745
```

V = 74 Å³ per cell

***

Verdict on stability: a comes out at the bottom.

***

--- a ---
The following is a PBE calculation of a relaxed structure of Sc2SiW, from the Alexandria database.

Cell and atoms, written as POSCAR:
```
Sc2SiW
1.0
-2.6038 -1.4201 -0.6110
1.0718 -2.8953 2.1619
-2.6565 2.7306 4.9740
Sc W Si
2 1 1
Cartesian
-1.3067 1.3432 2.4467
-0.0215 0.0221 0.0403
-2.7584 -0.1097 4.5059
-1.4302 -1.4751 2.0189
```

V = 72 Å³ per cell

***

--- b ---
The following is a PBE calculation of a relaxed structure of Sc2SiW, from the Alexandria database.

Cell and atoms, written as POSCAR:
```
Sc2SiW
1.0
4.6060 0.0000 0.0000
2.3030 3.9889 0.0000
2.3030 1.3296 3.7608
Sc Si W
2 1 1
Cartesian
2.3030 1.3296 0.9402
0.0000 0.0000 0.0000
4.6060 2.6593 1.8804
6.9091 3.9889 2.8206
```

V = 69 Å³ per cell

***

--- c ---
The following is a PBE calculation of a relaxed structure of Sc2SiW, from the Alexandria database.

Cell and atoms, written as POSCAR:
```
Sc2SiW
1.0
-2.7876 0.9642 0.3669
0.1958 -0.1614 -2.9615
-2.7959 -8.1822 0.2609
Sc W Si
2 1 1
Cartesian
-2.1181 -2.0048 -1.2206
-2.7131 -7.9398 0.2532
-3.2940 -5.4460 -1.1109
-1.4563 -4.2619 0.1359
```

V = 75 Å³ per cell

***

Verdict on stability: b comes out at the bottom.

***

--- a ---
The following is a PBE calculation of a relaxed structure of YScSi2, from the Alexandria database.

Cell and atoms, written as POSCAR:
```
YScSi2
1.0
-0.4738 4.5407 1.5170
-3.2060 1.0702 3.4234
1.5016 1.2350 4.4004
Sc Y Si
1 1 2
Cartesian
-1.0891 3.4230 4.6704
-0.5445 1.7115 2.3352
0.0000 0.0000 0.0000
-1.6336 5.1345 7.0055
```

V = 79 Å³ per cell

***

--- b ---
The following is a PBE calculation of a relaxed structure of YScSi2, from the Alexandria database.

Cell and atoms, written as POSCAR:
```
YScSi2
1.0
0.0000 3.4349 3.4349
3.4349 0.0000 3.4349
3.4349 3.4349 0.0000
Sc Si Y
1 2 1
Cartesian
0.0000 0.0000 0.0000
5.1524 5.1524 5.1524
1.7175 1.7175 1.7175
3.4349 3.4349 3.4349
```

V = 81 Å³ per cell

***

Verdict on stability: a comes out at the bottom.

***

--- a ---
The following is a PBE calculation of a relaxed structure of YScSi2, from the Alexandria database.

Cell and atoms, written as POSCAR:
```
YScSi2
1.0
-2.9386 0.6120 1.2677
0.7798 -2.3915 2.9622
2.3702 4.7422 3.2047
Si Sc Y
2 1 1
Cartesian
1.2902 2.5814 1.7445
2.2651 4.5319 3.0626
0.6983 2.6669 4.5185
-0.4868 0.2958 2.9161
```

V = 78 Å³ per cell

***

--- b ---
The following is a PBE calculation of a relaxed structure of YScSi2, from the Alexandria database.

Cell and atoms, written as POSCAR:
```
YScSi2
1.0
7.7391 -0.0285 -0.0171
6.8672 3.5689 -0.0171
6.8672 1.6645 3.1570
Sc Si Y
1 2 1
Cartesian
16.1051 3.9037 2.3421
0.1004 0.0243 0.0146
10.6363 2.5781 1.5468
5.3684 1.3012 0.7807
```

V = 88 Å³ per cell

***

Verdict on stability: b comes out at the bottom.

***

--- a ---
The following is a PBE calculation of a relaxed structure of YScSi2, from the Alexandria database.

Cell and atoms, written as POSCAR:
```
YScSi2
1.0
-1.2162 2.4804 3.6654
-3.9802 2.1573 0.7556
-3.1656 -2.9513 3.3346
Si Y Sc
2 1 1
Cartesian
-3.0331 -2.7368 3.1849
-4.3136 0.6288 4.0275
-2.0905 0.4216 1.9389
-6.2715 1.2649 5.8166
```

V = 84 Å³ per cell

***

--- b ---
The following is a PBE calculation of a relaxed structure of YScSi2, from the Alexandria database.

Cell and atoms, written as POSCAR:
```
YScSi2
1.0
6.8511 -0.0068 -0.0042
5.7022 3.7978 -0.0042
5.7022 1.7220 3.3850
Y Sc Si
1 1 2
Cartesian
9.6463 2.9131 1.7842
13.0582 3.9434 2.4153
5.4242 1.6380 1.0033
17.5101 5.2879 3.2387
```

V = 88 Å³ per cell

***

--- c ---
The following is a PBE calculation of a relaxed structure of YScSi2, from the Alexandria database.

Cell and atoms, written as POSCAR:
```
YScSi2
1.0
7.4376 0.0000 0.0000
0.0000 7.4376 0.0000
3.7188 3.7188 3.1539
Y Si Sc
2 4 2
Cartesian
7.4376 3.7188 1.5770
0.0000 0.0000 0.0000
9.2970 9.1804 2.3654
5.4617 1.8594 0.7885
5.5782 5.6947 2.3654
1.9759 5.5782 0.7885
3.7188 3.7188 0.0000
3.7188 7.4376 1.5770
```

V = 174 Å³ per cell

***

--- d ---
The following is a PBE calculation of a relaxed structure of YScSi2, from the Alexandria database.

Cell and atoms, written as POSCAR:
```
YScSi2
1.0
-3.1738 -2.2575 -2.0491
2.7445 -0.8214 -3.3458
1.2151 -3.3621 1.8220
Y Si Sc
1 2 1
Cartesian
-0.9793 -2.8098 -0.1136
-0.2146 -1.5394 -2.6975
0.0000 0.0000 0.0000
1.9798 -2.0917 -0.7619
```

V = 78 Å³ per cell

***

Verdict on stability: c comes out at the bottom.

***

--- a ---
The following is a PBE calculation of a relaxed structure of YScSi2, from the Alexandria database.

Cell and atoms, written as POSCAR:
```
YScSi2
1.0
4.6371 0.0000 0.0000
0.0000 3.3260 0.0000
0.0000 0.0000 5.6270
Si Y Sc
2 1 1
Cartesian
0.0000 0.0000 4.9223
2.3186 1.6630 2.1118
0.0000 0.0000 2.1087
2.3186 1.6630 4.9246
```

V = 87 Å³ per cell

***

--- b ---
The following is a PBE calculation of a relaxed structure of YScSi2, from the Alexandria database.

Cell and atoms, written as POSCAR:
```
YScSi2
1.0
5.0595 -0.0151 0.0000
-1.1940 4.9166 0.0000
0.0000 0.0000 3.1490
Y Si Sc
1 2 1
Cartesian
2.5297 -0.0076 1.5745
1.9328 2.4507 0.0000
0.0000 0.0000 0.0000
-0.5970 2.4583 1.5745
```

V = 78 Å³ per cell

***

--- c ---
The following is a PBE calculation of a relaxed structure of YScSi2, from the Alexandria database.

Cell and atoms, written as POSCAR:
```
YScSi2
1.0
-3.2353 -3.5884 3.2131
-4.3072 -3.8750 -0.3161
1.4904 -3.9828 -0.1293
Y Si Sc
1 2 1
Cartesian
-3.1421 -5.7677 1.4227
-1.7852 -2.9663 0.7831
-7.1327 -7.3054 2.7597
-4.5608 -8.5932 2.0830
```

V = 80 Å³ per cell

***

Verdict on stability: a comes out at the bottom.

***

--- a ---
The following is a PBE calculation of a relaxed structure of Y2ScSi2, from the Alexandria database.

Cell and atoms, written as POSCAR:
```
Y2ScSi2
1.0
-2.7942 -2.0875 2.3519
2.4467 -4.4433 2.7252
1.0999 0.6187 5.6180
Si Y Sc
2 2 1
Cartesian
0.8292 -0.7414 2.2082
-0.0768 -5.1707 8.4869
0.3196 -4.8267 5.5010
0.4328 -1.0854 5.1940
-0.1738 -3.2654 2.5385
```

V = 112 Å³ per cell

***

--- b ---
The following is a PBE calculation of a relaxed structure of Y2ScSi2, from the Alexandria database.

Cell and atoms, written as POSCAR:
```
Y2ScSi2
1.0
-5.2989 -1.6699 -4.6512
4.2668 -4.9867 -3.0706
-1.4573 -2.9132 2.7061
Si Sc Y
4 2 4
Cartesian
0.9781 -2.0928 -1.7262
1.7420 -5.0177 -4.4636
-2.7741 -1.6389 -3.2582
-2.0102 -4.5639 -5.9956
-0.5161 -3.3283 -3.8609
0.0000 0.0000 0.0000
-0.7966 -6.6939 -4.3216
1.2229 -5.1227 -1.5427
-1.6928 -2.8759 -0.6941
-3.7123 -4.4471 -3.4730
```

V = 222 Å³ per cell

***

Verdict on stability: a comes out at the bottom.

***

--- a ---
The following is a PBE calculation of a relaxed structure of YScSi3, from the Alexandria database.

Cell and atoms, written as POSCAR:
```
YScSi3
1.0
5.1239 0.0000 0.0000
0.0000 5.1239 0.0000
0.0000 0.0000 5.1239
Y Si Sc
1 3 1
Cartesian
0.0000 0.0000 0.0000
0.0000 0.0000 2.5620
2.5620 0.0000 0.0000
0.0000 2.5620 0.0000
2.5620 2.5620 2.5620
```

V = 135 Å³ per cell

***

--- b ---
The following is a PBE calculation of a relaxed structure of YScSi3, from the Alexandria database.

Cell and atoms, written as POSCAR:
```
YScSi3
1.0
4.8841 0.0000 0.0000
0.0000 4.8841 0.0000
0.0000 0.0000 4.8841
Si Sc Y
3 1 1
Cartesian
0.0000 2.4421 0.0000
0.0000 0.0000 2.4421
2.4421 0.0000 0.0000
0.0000 0.0000 0.0000
2.4421 2.4421 2.4421
```

V = 117 Å³ per cell

***

Verdict on stability: a comes out at the bottom.

***

--- a ---
The following is a PBE calculation of a relaxed structure of YScSi4, from the Alexandria database.

Cell and atoms, written as POSCAR:
```
YScSi4
1.0
-3.5120 0.3666 3.8605
-4.7348 2.0111 -0.9532
-4.2110 -3.1046 0.0091
Si Sc Y
4 1 1
Cartesian
-4.6486 -0.2712 1.0882
-6.4306 -0.0852 3.0470
-7.0510 0.7492 0.6045
-6.7853 -1.8466 1.0928
0.0000 0.0000 0.0000
-9.3433 -0.5452 2.1872
```

V = 101 Å³ per cell

***

--- b ---
The following is a PBE calculation of a relaxed structure of YScSi4, from the Alexandria database.

Cell and atoms, written as POSCAR:
```
YScSi4
1.0
-1.2981 -3.6155 -0.3936
6.4455 -2.7688 4.1727
-7.3697 1.3119 12.2545
Si Sc Y
16 4 4
Cartesian
-3.4519 -2.0769 11.5222
1.3794 -2.7868 2.1063
-6.9362 -0.8985 12.1872
-1.3187 -2.8075 11.1922
-0.5232 -2.8508 8.9688
1.7744 -3.6678 8.8948
-1.6991 -2.2216 7.0648
3.1387 -3.7952 5.5650
1.2296 -2.9956 4.5114
4.7139 -4.1739 3.8464
-5.3610 -1.2772 10.4686
-0.9036 -2.2649 4.8414
0.4326 -3.5791 12.5081
-2.6549 -1.4933 3.5255
-3.6017 -2.2856 13.9272
-3.9967 -1.4046 7.1388
3.4989 -1.6637 3.7385
-5.7212 -3.4087 12.2951
-2.1332 0.1496 5.6585
-0.0891 -5.2220 10.3751
1.2612 -1.2171 7.0176
-3.4835 -3.8553 9.0160
-0.2780 -0.1324 2.1317
-1.9443 -4.9400 13.9019
```

V = 453 Å³ per cell

***

Verdict on stability: a comes out at the bottom.

***

--- a ---
The following is a PBE calculation of a relaxed structure of ScZn3Si, from the Alexandria database.

Cell and atoms, written as POSCAR:
```
ScZn3Si
1.0
4.6484 0.0000 0.0000
0.0000 4.6484 0.0000
0.0000 0.0000 4.6484
Zn Si Sc
3 1 1
Cartesian
0.0000 0.0000 2.3242
0.0000 2.3242 0.0000
2.3242 0.0000 0.0000
0.0000 0.0000 0.0000
2.3242 2.3242 2.3242
```

V = 100 Å³ per cell

***

--- b ---
The following is a PBE calculation of a relaxed structure of ScZn3Si, from the Alexandria database.

Cell and atoms, written as POSCAR:
```
ScZn3Si
1.0
5.1120 0.0000 0.0000
0.0000 5.1120 0.0000
0.0000 0.0000 5.1120
Zn Si Sc
3 1 1
Cartesian
0.0000 2.5560 0.0000
0.0000 0.0000 2.5560
2.5560 0.0000 0.0000
2.5560 2.5560 2.5560
0.0000 0.0000 0.0000
```

V = 134 Å³ per cell

***

Verdict on stability: b comes out at the bottom.

***

--- a ---
The following is a PBE calculation of a relaxed structure of Zr3ScSi, from the Alexandria database.

Cell and atoms, written as POSCAR:
```
Zr3ScSi
1.0
-0.7619 -0.6295 4.9174
4.3324 -2.5030 0.3509
2.4099 4.3008 0.9239
Sc Si Zr
1 1 3
Cartesian
2.9902 0.5841 3.0961
0.0000 0.0000 0.0000
-0.3810 -0.3147 2.4587
1.2050 2.1504 0.4620
2.1662 -1.2515 0.1754
```

V = 126 Å³ per cell

***

--- b ---
The following is a PBE calculation of a relaxed structure of Zr3ScSi, from the Alexandria database.

Cell and atoms, written as POSCAR:
```
Zr3ScSi
1.0
-4.0465 -1.8078 2.1750
1.1127 -4.5082 -1.6768
2.6002 -0.8841 4.1025
Si Zr Sc
1 3 1
Cartesian
-0.1668 -3.6001 2.3004
0.5564 -2.2541 -0.8384
1.3001 -0.4421 2.0513
-2.0233 -0.9039 1.0875
0.0000 0.0000 0.0000
```

V = 120 Å³ per cell

***

Verdict on stability: b comes out at the bottom.

***

--- a ---
The following is a PBE calculation of a relaxed structure of ZrSc3Si, from the Alexandria database.

Cell and atoms, written as POSCAR:
```
ZrSc3Si
1.0
5.0260 0.0000 0.0000
0.0000 5.0260 0.0000
0.0000 0.0000 5.0260
Si Sc Zr
1 3 1
Cartesian
0.0000 0.0000 0.0000
0.0000 2.5130 0.0000
0.0000 0.0000 2.5130
2.5130 0.0000 0.0000
2.5130 2.5130 2.5130
```

V = 127 Å³ per cell

***

--- b ---
The following is a PBE calculation of a relaxed structure of ZrSc3Si, from the Alexandria database.

Cell and atoms, written as POSCAR:
```
ZrSc3Si
1.0
-1.0377 3.1979 3.7730
1.9791 -3.2645 3.3113
4.5327 2.1575 -0.5821
Sc Zr Si
3 1 1
Cartesian
0.9896 -1.6323 1.6557
2.2663 1.0788 -0.2910
-0.5188 1.5990 1.8865
0.0000 0.0000 0.0000
2.7371 1.0455 3.2511
```

V = 129 Å³ per cell

***

Verdict on stability: b comes out at the bottom.